! TlTe2Br6 | Alexandria | GGA-PBE | relaxed; values from VASP
! - Space-group type: C2/c, No. 15
! - ΔE_f (raw): -3.4 eV per formula unit
! - Raw total energy: -22.116 eV/f.u.
&SYSTEM
  ibrav = 0, nat = 18, ntyp = 3
/
ATOMIC_SPECIES
Tl 204.38 Tl.upf
Te 127.60 Te.upf
Br 79.90 Br.upf
CELL_PARAMETERS angstrom
8.327 -0.180 -0.175
2.090 10.163 -0.154
2.090 0.175 10.163
ATOMIC_POSITIONS angstrom
Tl 4.172 1.530 8.673
Tl 8.336 8.628 1.161
Te 5.446 6.040 9.273
Te 2.898 0.784 4.185
Te 7.061 4.118 0.560
Te 9.610 9.374 5.649
Br 7.565 8.079 4.716
Br 9.106 5.092 1.824
Br 4.943 2.079 5.117
Br 3.401 5.066 8.009
Br 2.654 9.288 3.346
Br 5.690 6.603 0.746
Br 9.853 0.869 6.488
Br 6.818 3.555 9.088
Br 4.530 8.539 9.313
Br 3.814 0.663 1.689
Br 7.977 1.619 0.521
Br 8.694 9.494 8.145

***

! In2GaBr2 | Alexandria | GGA-PBE | relaxed; values from VASP
! - ΔE to the lowest computed polymorph: 80 meV/atom
! - Space-group type: P2, No. 3
! - ΔE_f (raw): -1.9 eV per formula unit
! - Raw total energy: -13.708 eV/f.u.
&SYSTEM
  ibrav = 0, nat = 5, ntyp = 3
/
ATOMIC_SPECIES
In 114.82 In.upf
Ga 69.72 Ga.upf
Br 79.90 Br.upf
CELL_PARAMETERS angstrom
-0.957 -1.434 3.782
0.509 -4.628 -1.626
7.321 0.316 1.393
ATOMIC_POSITIONS angstrom
In 4.269 -2.272 3.436
In 2.393 -1.548 0.789
Ga -0.379 -1.621 1.573
Br 1.391 -4.612 1.962
Br 5.763 -3.684 0.690